(one)
Material: TlCr2Br
Method: DFT, PBE-GGA
State: optimized geometry

Cell: 9.3535 3.3284 8.0115 Å, 90.00 123.38 90.00°
Space group C2/m (No. 12)
Asymmetric unit:
Tl: 0.0000 0.0000 0.0000 x2
Cr: 0.1357 0.5000 0.8179 x4
Br: 0.0000 0.0000 0.5000 x2

For the density of states at the Fermi level, the calculation gives 0.478 states/eV per atom.

=====

(two)
Material: TlCr2Br
Method: DFT, PBE-GGA
State: optimized geometry

Cell: 7.5786 7.5786 6.6779 Å, 90.00 90.00 90.00°
Space group I-42d (No. 122)
Asymmetric unit:
Tl: 0.0000 0.0000 0.0000 x4
Cr: 0.2300 0.2500 0.6250 x8
Br: 0.0000 0.0000 0.5000 x4

For the density of states at the Fermi level, the calculation gives 0.847 states/eV per atom.

=====

Energy above the most stable structure, in meV/atom: (one) 0; (two) 178